No. 1
A relaxed MgPdPtRh crystal, computed with PBE-GGA.

Computed properties:
DOS at the Fermi energy	25.82	states/eV per cell
total magnetization	2.7	μB/cell
formation energy from the elements	-0.280	eV per atom

abc: 6.297 6.297 6.297
angles: 90.00 90.00 90.00
Fractional coordinates of all 16 atoms:
Mg1 0.000 0.000 0.000
Mg2 0.000 0.500 0.500
Mg3 0.500 0.000 0.500
Mg4 0.500 0.500 0.000
Pd1 0.250 0.250 0.750
Pd2 0.250 0.750 0.250
Pd3 0.750 0.250 0.250
Pd4 0.750 0.750 0.750
Pt1 0.250 0.250 0.250
Pt2 0.250 0.750 0.750
Pt3 0.750 0.250 0.750
Pt4 0.750 0.750 0.250
Rh1 0.000 0.000 0.500
Rh2 0.000 0.500 0.000
Rh3 0.500 0.000 0.000
Rh4 0.500 0.500 0.500

No. 2
A relaxed MgSbPdPt crystal, computed with PBE-GGA.

Computed properties:
DOS at the Fermi energy	6.70	states/eV per cell
total magnetization	0.0	μB/cell
electronic total energy	-77.102	eV/cell

abc: 6.556 6.556 6.556
angles: 90.00 90.00 90.00
Fractional coordinates of all 16 atoms:
Mg1 0.000 0.000 0.000
Mg2 0.000 0.500 0.500
Mg3 0.500 0.000 0.500
Mg4 0.500 0.500 0.000
Sb1 0.000 0.000 0.500
Sb2 0.000 0.500 0.000
Sb3 0.500 0.000 0.000
Sb4 0.500 0.500 0.500
Pd1 0.250 0.250 0.250
Pd2 0.250 0.750 0.750
Pd3 0.750 0.250 0.750
Pd4 0.750 0.750 0.250
Pt1 0.250 0.250 0.750
Pt2 0.250 0.750 0.250
Pt3 0.750 0.250 0.250
Pt4 0.750 0.750 0.750

No. 3
A relaxed Mg2SbPdPt5 crystal, computed with PBE-GGA.

Computed properties:
DOS at the Fermi energy	10.67	states/eV per cell
total magnetization	0.0	μB/cell
electronic total energy	-87.702	eV/cell

abc: 7.675 7.675 7.675
angles: 120.39 120.39 89.32
Fractional coordinates of all 18 atoms:
Mg1 0.113 0.613 0.725
Mg2 0.387 0.113 0.500
Mg3 0.613 0.887 0.500
Mg4 0.887 0.387 0.275
Sb1 0.250 0.250 0.000
Sb2 0.750 0.750 0.000
Pd1 0.250 0.750 0.500
Pd2 0.750 0.250 0.500
Pt1 0.000 0.000 0.000
Pt2 0.073 0.169 0.500
Pt3 0.169 0.669 0.096
Pt4 0.331 0.427 0.500
Pt5 0.427 0.927 0.096
Pt6 0.500 0.500 0.000
Pt7 0.573 0.073 0.904
Pt8 0.669 0.573 0.500
Pt9 0.831 0.331 0.904
Pt10 0.927 0.831 0.500

No. 4
A relaxed Mg2Sc5PdPt2 crystal, computed with PBE-GGA.

Computed properties:
DOS at the Fermi energy	17.70	states/eV per cell
total magnetization	0.0	μB/cell
formation energy from the elements	-0.731	eV per atom

abc: 11.088 11.088 3.454
angles: 90.00 90.00 90.00
Fractional coordinates of all 20 atoms:
Mg1 0.174 0.326 0.000
Mg2 0.326 0.826 0.000
Mg3 0.674 0.174 0.000
Mg4 0.826 0.674 0.000
Sc1 0.000 0.500 0.500
Sc2 0.069 0.806 0.500
Sc3 0.194 0.069 0.500
Sc4 0.306 0.569 0.500
Sc5 0.431 0.306 0.500
Sc6 0.500 0.000 0.500
Sc7 0.569 0.694 0.500
Sc8 0.694 0.431 0.500
Sc9 0.806 0.931 0.500
Sc10 0.931 0.194 0.500
Pd1 0.000 0.000 0.000
Pd2 0.500 0.500 0.000
Pt1 0.135 0.635 0.000
Pt2 0.365 0.135 0.000
Pt3 0.635 0.865 0.000
Pt4 0.865 0.365 0.000

No. 5
A relaxed Mg2SnPdPt5 crystal, computed with PBE-GGA.

Computed properties:
DOS at the Fermi energy	11.49	states/eV per cell
total magnetization	0.0	μB/cell
formation energy from the elements	-0.156	eV per atom

abc: 7.689 7.689 7.689
angles: 121.67 121.67 87.14
Fractional coordinates of all 18 atoms:
Mg1 0.112 0.612 0.725
Mg2 0.388 0.112 0.500
Mg3 0.612 0.888 0.500
Mg4 0.888 0.388 0.275
Sn1 0.250 0.250 0.000
Sn2 0.750 0.750 0.000
Pd1 0.250 0.750 0.500
Pd2 0.750 0.250 0.500
Pt1 0.000 0.000 0.000
Pt2 0.074 0.167 0.500
Pt3 0.167 0.667 0.092
Pt4 0.333 0.426 0.500
Pt5 0.426 0.926 0.092
Pt6 0.500 0.500 0.000
Pt7 0.574 0.074 0.908
Pt8 0.667 0.574 0.500
Pt9 0.833 0.333 0.908
Pt10 0.926 0.833 0.500

No. 6
A relaxed TbMgPdPt crystal, computed with PBE-GGA.

Computed properties:
DOS at the Fermi energy	8.72	states/eV per cell
total magnetization	0.0	μB/cell
formation energy from the elements	-0.932	eV per atom

abc: 6.754 6.754 6.754
angles: 90.00 90.00 90.00
Fractional coordinates of all 16 atoms:
Tb1 0.000 0.000 0.000
Tb2 0.000 0.500 0.500
Tb3 0.500 0.000 0.500
Tb4 0.500 0.500 0.000
Mg1 0.000 0.000 0.500
Mg2 0.000 0.500 0.000
Mg3 0.500 0.000 0.000
Mg4 0.500 0.500 0.500
Pd1 0.250 0.250 0.750
Pd2 0.250 0.750 0.250
Pd3 0.750 0.250 0.250
Pd4 0.750 0.750 0.750
Pt1 0.250 0.250 0.250
Pt2 0.250 0.750 0.750
Pt3 0.750 0.250 0.750
Pt4 0.750 0.750 0.250

No. 7
A relaxed YMgPdPt2 crystal, computed with PBE-GGA.

Computed properties:
DOS at the Fermi energy	2.37	states/eV per cell
total magnetization	0.0	μB/cell
formation energy from the elements	-0.254	eV per atom

abc: 4.728 4.728 4.557
angles: 90.00 90.00 90.00
Fractional coordinates of all 5 atoms:
Y1 0.000 0.000 0.000
Mg1 0.500 0.500 0.500
Pd1 0.500 0.500 0.000
Pt1 0.000 0.500 0.500
Pt2 0.500 0.000 0.500

No. 8
A relaxed YMgPdPt crystal, computed with PBE-GGA.

Computed properties:
DOS at the Fermi energy	8.18	states/eV per cell
total magnetization	0.0	μB/cell
formation energy from the elements	-0.936	eV per atom

abc: 6.746 6.746 6.746
angles: 90.00 90.00 90.00
Fractional coordinates of all 16 atoms:
Y1 0.000 0.000 0.000
Y2 0.000 0.500 0.500
Y3 0.500 0.000 0.500
Y4 0.500 0.500 0.000
Mg1 0.000 0.000 0.500
Mg2 0.000 0.500 0.000
Mg3 0.500 0.000 0.000
Mg4 0.500 0.500 0.500
Pd1 0.250 0.250 0.250
Pd2 0.250 0.750 0.750
Pd3 0.750 0.250 0.750
Pd4 0.750 0.750 0.250
Pt1 0.250 0.250 0.750
Pt2 0.250 0.750 0.250
Pt3 0.750 0.250 0.250
Pt4 0.750 0.750 0.750

No. 9
A relaxed MgZnPdPt crystal, computed with PBE-GGA.

Computed properties:
DOS at the Fermi energy	2.36	states/eV per cell
excess energy over the best structure of this formula in the dataset	0.0	meV per atom
total magnetization	0.0	μB/cell
formation energy from the elements	-0.704	eV per atom

abc: 4.168 4.168 6.985
angles: 90.00 90.00 90.00
Fractional coordinates of all 8 atoms:
Mg1 0.000 0.000 0.000
Mg2 0.500 0.500 0.500
Zn1 0.000 0.000 0.500
Zn2 0.500 0.500 0.000
Pd1 0.000 0.500 0.250
Pd2 0.500 0.000 0.750
Pt1 0.000 0.500 0.750
Pt2 0.500 0.000 0.250

No. 10
A relaxed MgZnPdPt crystal, computed with PBE-GGA.

Computed properties:
DOS at the Fermi energy	10.01	states/eV per cell
excess energy over the best structure of this formula in the dataset	22.4	meV per atom
total magnetization	0.0	μB/cell
formation energy from the elements	-0.682	eV per atom

abc: 6.234 6.234 6.234
angles: 90.00 90.00 90.00
Fractional coordinates of all 16 atoms:
Mg1 0.000 0.000 0.000
Mg2 0.000 0.500 0.500
Mg3 0.500 0.000 0.500
Mg4 0.500 0.500 0.000
Zn1 0.000 0.000 0.500
Zn2 0.000 0.500 0.000
Zn3 0.500 0.000 0.000
Zn4 0.500 0.500 0.500
Pd1 0.250 0.250 0.250
Pd2 0.250 0.750 0.750
Pd3 0.750 0.250 0.750
Pd4 0.750 0.750 0.250
Pt1 0.250 0.250 0.750
Pt2 0.250 0.750 0.250
Pt3 0.750 0.250 0.250
Pt4 0.750 0.750 0.750

No. 11
A relaxed MgZn2Pd5Pt crystal, computed with PBE-GGA.

Computed properties:
DOS at the Fermi energy	12.23	states/eV per cell
total magnetization	0.0	μB/cell
formation energy from the elements	-0.199	eV per atom

abc: 8.660 8.660 8.660
angles: 137.49 137.49 61.68
Fractional coordinates of all 18 atoms:
Mg1 0.250 0.250 0.000
Mg2 0.750 0.750 0.000
Zn1 0.129 0.629 0.757
Zn2 0.371 0.129 0.500
Zn3 0.629 0.871 0.500
Zn4 0.871 0.371 0.243
Pd1 0.000 0.000 0.000
Pd2 0.090 0.131 0.500
Pd3 0.131 0.631 0.040
Pd4 0.369 0.410 0.500
Pd5 0.410 0.910 0.040
Pd6 0.500 0.500 0.000
Pd7 0.590 0.090 0.960
Pd8 0.631 0.590 0.500
Pd9 0.869 0.369 0.960
Pd10 0.910 0.869 0.500
Pt1 0.250 0.750 0.500
Pt2 0.750 0.250 0.500

No. 12
A relaxed Mg3Zn3Pd2Pt crystal, computed with PBE-GGA.

Computed properties:
DOS at the Fermi energy	4.70	states/eV per cell
total magnetization	0.0	μB/cell
formation energy from the elements	-0.498	eV per atom

abc: 7.581 7.581 2.902
angles: 90.00 90.00 120.00
Fractional coordinates of all 9 atoms:
Mg1 0.000 0.704 0.000
Mg2 0.296 0.296 0.000
Mg3 0.704 0.000 0.000
Zn1 0.000 0.371 0.500
Zn2 0.371 0.000 0.500
Zn3 0.629 0.629 0.500
Pd1 0.333 0.667 0.000
Pd2 0.667 0.333 0.000
Pt1 0.000 0.000 0.500

Q: Which formula does entry 1 have?
A: MgPdPtRh